Entry from Alexandria via LeMat-Bulk: a relaxed structure of Ba2LiBe (PBE-GGA).

Properties
* crystal system: monoclinic
* formation energy from the elements: 28.6 kJ/mol of atoms

a b c (Å): 4.0558 4.0564 8.8063
angles (deg): 90.00 90.08 90.00
Last column: nearest neighbours and their distance in Å.
Fractional positions:
Ba: 0.0000 0.0000 0.2106  4 Be 3.41-3.42, 1 Ba 3.71
Ba: 0.0000 0.0000 0.7894  4 Be 3.41-3.42, 1 Ba 3.71
Li: 0.5000 0.5000 0.5000  8 Ba 3.83-3.84, 4 Li 4.06
Be: 0.5000 0.5000 0.0000  8 Ba 3.41-3.42

Entry from Alexandria via LeMat-Bulk: a relaxed structure of BaLi3Be (PBE-GGA).

Properties
* crystal system: cubic
* formation energy from the elements: 143.0 kJ/mol of atoms
* energy above the lowest structure with this stoichiometry: 28.064 kcal/mol of atoms

a b c (Å): 5.6302 5.6302 5.6302
angles (deg): 90.00 90.00 90.00
Last column: nearest neighbours and their distance in Å.
Fractional positions:
Ba: 0.0000 0.0000 0.0000  6 Li 2.82
Li: 0.0000 0.0000 0.5000  2 Ba 2.82
Li: 0.0000 0.5000 0.0000  2 Ba 2.82
Li: 0.5000 0.0000 0.0000  2 Ba 2.82
Be: 0.5000 0.5000 0.5000  12 Li 3.98

> The lowest formation energy from the elements belongs to which entry?

Ba2LiBe

> Which value of formation energy from the elements does entry 1 give?

28.6 kJ/mol of atoms